(1)
Density functional theory data (PBE) for an optimized crystal structure of Dy4SbP2N.

Lattice parameters (Å, degrees): 3.951 7.239 13.880 90.00 90.00 105.84
Atoms (fractional coordinates):
Dy 0.255 0.510 0.123
Dy 0.745 0.490 0.623
Dy 0.745 0.490 0.877
Dy 0.255 0.510 0.377
Dy 0.000 0.000 0.500
Dy 0.000 0.000 0.000
Dy 0.419 0.838 0.750
Dy 0.581 0.162 0.250
Sb 0.102 0.204 0.750
Sb 0.898 0.796 0.250
P 0.369 0.738 0.550
P 0.631 0.262 0.050
P 0.631 0.262 0.450
P 0.369 0.738 0.950
N 0.836 0.671 0.750
N 0.164 0.329 0.250

## Properties
As for the uncorrected formation energy: -136.1 kJ/mol of atoms. As for the total energy: -52.957 eV per formula unit.

***

(2)
Density functional theory data (PBE) for an optimized crystal structure of AgTe2Cl.

Lattice parameters (Å, degrees): 5.927 5.928 5.926 141.35 102.40 90.27
Atoms (fractional coordinates):
Te 0.013 0.013 0.000
Te 0.263 0.763 0.500
Ag 0.514 0.514 0.000
Cl 0.710 0.210 0.500

## Properties
As for the uncorrected formation energy: 0.6 kJ/mol of atoms. As for the total energy: -10.955 eV per formula unit.